No. 1
Below is crystalline Sc2TiO at its relaxed geometry, with properties calculated at the PBE-GGA level.

## Properties
Raw formation energy: -0.997 eV/atom

Cell: 2.8653 2.8653 7.5779 Å, 90.00 90.00 90.00°
With the nearest neighbours (Å) after each atom.
Space group P4/mmm (No. 123)
One atom of each set of equivalent atoms:
Sc (0.0000, 0.0000, 0.1899) [2 per cell]  4 O 2.49
Ti (0.5000, 0.5000, 0.5000) [1 per cell]  4 Ti 2.87, 8 Sc 3.10
O (0.5000, 0.5000, 0.0000) [1 per cell]  8 Sc 2.49

No. 2
Below is crystalline ScTiO3 at its relaxed geometry, with properties calculated at the PBE-GGA level.

## Properties
Raw formation energy: -3.148 eV/atom

Cell: 5.2423 5.2423 14.2945 Å, 90.00 90.00 120.00°
With the nearest neighbours (Å) after each atom.
Space group R-3 (No. 148, hexagonal axes)
One atom of each set of equivalent atoms:
Sc (0.0000, 0.0000, 0.1440) [6 per cell]  6 O 2.07-2.22
Ti (0.0000, 0.0000, 0.3487) [6 per cell]  6 O 2.03-2.11
O (0.0090, 0.7012, 0.2519) [18 per cell]  2 Ti 2.03-2.11, 2 Sc 2.07-2.22

No. 3
Below is crystalline ScTi3O at its relaxed geometry, with properties calculated at the PBE-GGA level.

## Properties
Raw formation energy: -1.012 eV/atom

Cell: 4.2479 4.2479 4.2479 Å, 90.00 90.00 90.00°
With the nearest neighbours (Å) after each atom.
Space group Pm-3m (No. 221)
One atom of each set of equivalent atoms:
Sc (0.0000, 0.0000, 0.0000) [1 per cell]  12 Ti 3.00
Ti (0.0000, 0.5000, 0.5000) [3 per cell]  2 O 2.12
O (0.5000, 0.5000, 0.5000) [1 per cell]  6 Ti 2.12

No. 4
Below is crystalline ScTiO3 at its relaxed geometry, with properties calculated at the PBE-GGA level.

## Properties
Raw formation energy: -3.058 eV/atom

Cell: 7.1111 3.2607 5.0087 Å, 90.00 90.00 90.00°
With the nearest neighbours (Å) after each atom.
Space group Pmma (No. 51)
One atom of each set of equivalent atoms:
Sc (0.2500, 0.0000, 0.0455) [2 per cell]  4 O 2.05-2.06
Ti (0.0000, 0.5000, 0.5000) [2 per cell]  6 O 2.05-2.08
O (0.0517, 0.0000, 0.7465) [4 per cell]  1 Sc 2.06, 2 Ti 2.08
O (0.2500, 0.5000, 0.2946) [2 per cell]  2 Sc 2.05, 2 Ti 2.05

VASP energy for the records above, in order: -7.38, -8.97, -8.01, -8.88 eV per atom